# 1
# PBE ZrBeIn2Se, relaxed
# Mass density, Mg/m³: 4.73
# Magnetization, μB/f.u.: 0.00
# Total energy, eV per atom: -3.419
# Raw formation energy, eV/atom: 0.83
data_ZrBeIn2Se
_cell_length_a 5.348
_cell_length_b 5.019
_cell_length_c 5.348
_cell_angle_alpha 90.00
_cell_angle_beta 90.00
_cell_angle_gamma 90.00
_space_group_name_H-M_alt 'P 1'
_space_group_IT_number 1
_space_group_name_Hall 'P 1'
loop_
_atom_site_label
_atom_site_fract_x
_atom_site_fract_y
_atom_site_fract_z
Be1 0.500 0.500 0.500
Se1 0.000 0.000 0.000
Zr1 0.000 0.500 0.000
In1 0.000 0.000 0.500
In2 0.500 0.000 0.000

***

# 2
# PBE Be2InSi, relaxed
# Excess energy over the best structure of this formula in the dataset, meV per atom: 433.6
# Mass density, Mg/m³: 4.32
# Magnetization, μB/f.u.: 0.00
# Total energy, eV per atom: -3.241
# Raw formation energy, eV/atom: 0.66
data_Be2InSi
_cell_length_a 9.205
_cell_length_b 9.205
_cell_length_c 9.205
_cell_angle_alpha 17.54
_cell_angle_beta 17.54
_cell_angle_gamma 17.54
_space_group_name_H-M_alt 'P 1'
_space_group_IT_number 1
_space_group_name_Hall 'P 1'
loop_
_atom_site_label
_atom_site_fract_x
_atom_site_fract_y
_atom_site_fract_z
Be1 0.991 0.991 0.991
Be2 0.264 0.264 0.264
Si1 0.732 0.732 0.732
In1 0.514 0.514 0.514

***

# 3
# PBE BeInSi2, relaxed
# Excess energy over the best structure of this formula in the dataset, meV per atom: 226.6
# Mass density, Mg/m³: 4.42
# Magnetization, μB/f.u.: 0.00
# Total energy, eV per atom: -3.743
# Raw formation energy, eV/atom: 0.58
data_BeInSi2
_cell_length_a 9.355
_cell_length_b 9.355
_cell_length_c 9.355
_cell_angle_alpha 17.91
_cell_angle_beta 17.91
_cell_angle_gamma 17.91
_space_group_name_H-M_alt 'P 1'
_space_group_IT_number 1
_space_group_name_Hall 'P 1'
loop_
_atom_site_label
_atom_site_fract_x
_atom_site_fract_y
_atom_site_fract_z
Be1 0.250 0.250 0.250
Si1 0.981 0.981 0.981
Si2 0.519 0.519 0.519
In1 0.750 0.750 0.750